The following is a PBE-GGA calculation of Tl2AgAs after structural relaxation, from the Alexandria database.

```
Tl2AgAs
1.0
4.892 0.000 0.000
0.000 4.892 0.000
0.000 0.000 4.059
Tl Ag As
2 1 1
direct
0.000 0.500 0.000 Tl
0.500 0.000 0.000 Tl
0.000 0.000 0.500 Ag
0.500 0.500 0.500 As
```

## Properties
- Formation energy: 209 meV per atom
- E above lowest polymorph: 197 meV/atom
- Final energy: -2.849 eV per atom
- Density of states at the Fermi level: 1.6 states/eV/f.u.

The following is a PBE-GGA calculation of ErTmMn after structural relaxation, from the Alexandria database.

```
ErTmMn
1.0
-1.717 1.717 6.245
1.717 -1.717 6.245
1.717 1.717 -6.245
Er Tm Mn
1 1 1
direct
0.000 0.000 0.000 Er
0.726 0.726 0.000 Tm
0.363 0.363 0.000 Mn
```

## Properties
- Formation energy: 119 meV per atom
- E above lowest polymorph: 0 meV/atom
- Final energy: -5.949 eV per atom
- Density of states at the Fermi level: 4.0 states/eV/f.u.

The following is a PBE-GGA calculation of Ca2CdAgH after structural relaxation, from the Alexandria database.

```
Ca2CdAgH
1.0
5.224 0.000 0.000
0.000 5.224 0.000
0.000 0.000 3.945
Ca Cd Ag H
2 1 1 1
direct
0.000 0.500 0.000 Ca
0.500 0.000 0.000 Ca
0.000 0.000 0.500 Cd
0.500 0.500 0.500 Ag
0.500 0.500 0.000 H
```

## Properties
- E above lowest polymorph: 0 meV/atom
- Final energy: -2.515 eV per atom
- Density of states at the Fermi level: 2.9 states/eV/f.u.

The following is a PBE-GGA calculation of K4Zr3MnSe8 after structural relaxation, from the Alexandria database.

```
K4Zr3MnSe8
1.0
3.963 2.288 7.704
-3.963 2.288 7.704
0.000 -4.576 7.704
K Zr Mn Se
4 3 1 8
direct
0.000 0.000 0.000 K
0.000 0.500 0.500 K
0.500 0.000 0.500 K
0.500 0.500 0.000 K
0.000 0.000 0.500 Zr
0.000 0.500 0.000 Zr
0.500 0.000 0.000 Zr
0.500 0.500 0.500 Mn
0.233 0.732 0.732 Se
0.235 0.235 0.235 Se
0.268 0.268 0.767 Se
0.268 0.767 0.268 Se
0.732 0.233 0.732 Se
0.732 0.732 0.233 Se
0.765 0.765 0.765 Se
0.767 0.268 0.268 Se
```

## Properties
- Final energy: -5.416 eV per atom
- Density of states at the Fermi level: 5.1 states/eV/f.u.
- Raw formation energy: -1.224 eV per atom

The following is a PBE-GGA calculation of Nd2USn after structural relaxation, from the Alexandria database.

```
Nd2USn
1.0
1.642 0.948 12.165
-1.642 0.948 12.165
0.000 -1.896 12.165
Nd U Sn
2 1 1
direct
0.090 0.090 0.090 Nd
0.910 0.910 0.910 Nd
0.000 0.000 0.000 U
0.500 0.500 0.500 Sn
```

## Properties
- Formation energy: 272 meV per atom
- Final energy: -5.935 eV per atom
- Density of states at the Fermi level: 7.7 states/eV/f.u.

The following is a PBE-GGA calculation of Rb2DyMnSe4 after structural relaxation, from the Alexandria database.

```
Rb2DyMnSe4
1.0
-4.255 4.322 6.347
4.255 -4.322 6.347
4.255 4.322 -6.347
Rb Dy Mn Se
4 2 2 8
direct
0.000 0.000 0.000 Rb
0.500 0.000 0.000 Rb
0.500 0.000 0.500 Rb
0.500 0.500 0.500 Rb
0.000 0.500 0.500 Dy
0.500 0.500 0.000 Dy
0.000 0.000 0.500 Mn
0.000 0.500 0.000 Mn
0.172 0.736 0.436 Se
0.200 0.264 0.936 Se
0.238 0.270 0.532 Se
0.238 0.706 0.968 Se
0.762 0.294 0.032 Se
0.762 0.730 0.468 Se
0.800 0.736 0.064 Se
0.828 0.264 0.564 Se
```

## Properties
- Final energy: -4.800 eV per atom
- Density of states at the Fermi level: 1.3 states/eV/f.u.
- Raw formation energy: -1.094 eV per atom

Computed values of V (unit: Å³ per atom) for the preceding records, in sequence: 24.3 24.6 21.5 26.2 28.4 29.2.